Entry 1:
{"formula": "MgNi2W", "functional": "meta-GGA SCAN", "state": "single point on PBEsol structure", "cell": [[2.6266, 0.0000, 0.0000], [0.0000, 3.8570, 0.0000], [0.0000, 0.0000, 5.2602]], "species": ["Mg", "Ni", "Ni", "W"], "frac_coords": [[0.0000, 0.0000, 0.0000], [0.0000, 0.0000, 0.4788], [0.5000, 0.5000, 0.2067], [0.5000, 0.5000, 0.6705]], "delta_e_f_ev_per_atom": 0.219, "dos_ef_per_ev_cell": 2.9, "density_g_cm3": 10.1}



Entry 2:
{"formula": "YMg2Ni", "functional": "meta-GGA SCAN", "state": "single point on PBEsol structure", "cell": [[3.2579, 0.0000, 0.0000], [0.0000, 3.2579, 0.0000], [0.0000, 0.0000, 7.6153]], "species": ["Y", "Mg", "Mg", "Ni"], "frac_coords": [[0.0000, 0.0000, 0.0000], [0.0000, 0.0000, 0.6011], [0.5000, 0.5000, 0.3281], [0.5000, 0.5000, 0.7892]], "delta_e_f_ev_per_atom": -0.161, "dos_ef_per_ev_cell": 2.2, "density_g_cm3": 4.0}



Entry 3:
{"formula": "Y2MgNi", "functional": "meta-GGA SCAN", "state": "single point on PBEsol structure", "cell": [[-1.6777, 2.4937, 5.3538], [1.6777, -2.4937, 5.3538], [1.6777, 2.4937, -5.3538]], "species": ["Y", "Y", "Mg", "Ni"], "frac_coords": [[0.0000, 0.0000, 0.0000], [0.6972, 0.1972, 0.5000], [0.3041, 0.8041, 0.5000], [0.4967, 0.4967, 0.0000]], "delta_e_f_ev_per_atom": -0.150, "dos_ef_per_ev_cell": 3.2, "density_g_cm3": 4.8}



Entry 4:
{"formula": "YMg2Ni", "functional": "meta-GGA SCAN", "state": "single point on PBEsol structure", "cell": [[3.9895, 0.0000, 0.0000], [0.0000, 4.0401, 0.0000], [0.0000, 0.0000, 4.9258]], "species": ["Y", "Mg", "Mg", "Ni"], "frac_coords": [[0.0000, 0.0000, 0.0000], [0.0000, 0.5000, 0.5000], [0.5000, 0.0000, 0.5000], [0.5000, 0.5000, 0.0000]], "delta_e_f_ev_per_atom": -0.053, "dos_ef_per_ev_cell": 2.3, "density_g_cm3": 4.1}



Entry 5:
{"formula": "YMgNi4", "functional": "meta-GGA SCAN", "state": "single point on PBEsol structure", "cell": [[0.0000, 3.4430, 3.4430], [3.4430, 0.0000, 3.4430], [3.4430, 3.4430, 0.0000]], "species": ["Y", "Mg", "Ni", "Ni", "Ni", "Ni"], "frac_coords": [[0.0000, 0.0000, 0.0000], [0.2500, 0.2500, 0.2500], [0.1282, 0.6239, 0.6239], [0.6239, 0.1282, 0.6239], [0.6239, 0.6239, 0.1282], [0.6239, 0.6239, 0.6239]], "delta_e_f_ev_per_atom": -0.383, "dos_ef_per_ev_cell": 4.7, "density_g_cm3": 7.1}



Entry 6:
{"formula": "MgZn2Ni2", "functional": "meta-GGA SCAN", "state": "single point on PBEsol structure", "cell": [[6.9404, 0.0000, 0.0000], [0.0000, 6.9404, 0.0000], [0.0000, 0.0000, 2.7032]], "species": ["Mg", "Mg", "Zn", "Zn", "Zn", "Zn", "Ni", "Ni", "Ni", "Ni"], "frac_coords": [[0.0000, 0.0000, 0.0000], [0.5000, 0.5000, 0.0000], [0.1286, 0.3714, 0.0000], [0.3714, 0.8714, 0.0000], [0.6286, 0.1286, 0.0000], [0.8714, 0.6286, 0.0000], [0.1684, 0.6684, 0.5000], [0.3316, 0.1684, 0.5000], [0.6684, 0.8316, 0.5000], [0.8316, 0.3316, 0.5000]], "delta_e_f_ev_per_atom": -0.197, "dos_ef_per_ev_cell": 3.2, "density_g_cm3": 7.0}



Entry 7:
{"formula": "MgZnNi", "functional": "meta-GGA SCAN", "state": "single point on PBEsol structure", "cell": [[-1.5065, 1.5065, 4.5977], [1.5065, -1.5065, 4.5977], [1.5065, 1.5065, -4.5977]], "species": ["Mg", "Zn", "Ni"], "frac_coords": [[0.0000, 0.0000, 0.0000], [0.6989, 0.6989, 0.0000], [0.3286, 0.3286, 0.0000]], "delta_e_f_ev_per_atom": -0.184, "dos_ef_per_ev_cell": 1.6, "density_g_cm3": 5.9}



Entry 8:
{"formula": "MgZnNi", "functional": "meta-GGA SCAN", "state": "single point on PBEsol structure", "cell": [[4.1825, 0.0000, 0.0000], [-2.0912, 3.6221, 0.0000], [0.0000, 0.0000, 2.7706]], "species": ["Mg", "Zn", "Ni"], "frac_coords": [[0.0000, 0.0000, 0.0000], [0.6667, 0.3333, 0.5000], [0.3333, 0.6667, 0.5000]], "delta_e_f_ev_per_atom": -0.155, "dos_ef_per_ev_cell": 1.2, "density_g_cm3": 5.9}